First-principles (PBE with a Hubbard U) data for a relaxed NiP2RuO crystal, as listed in the Alexandria database.

a b c (Å): 4.4877 4.4877 3.3417
angles (deg): 90.00 90.00 90.00
Fractional positions:
Ni: 0.0000 0.0000 0.0000
P: 0.0000 0.5000 0.0000
P: 0.5000 0.0000 0.0000
Ru: 0.5000 0.5000 0.5000
O: 0.0000 0.0000 0.5000

Summary:
polymorph energy (0 for the lowest one): 236 meV/atom
raw total energy: -4.87 eV/atom
calculated volume: 13.46 A^3/atom